# ZnGaFe6

Crystalline ZnGaFe6 at its relaxed geometry (PBE, Alexandria).

Lattice parameters (Å, degrees): 6.327 6.327 10.301 90.00 90.00 108.98
Element x y z (fractional)
Zn1 0.000 0.000 0.250
Zn2 0.000 0.000 0.750
Zn3 0.249 0.751 0.000
Zn4 0.751 0.249 0.000
Ga1 0.249 0.751 0.500
Ga2 0.500 0.500 0.249
Ga3 0.500 0.500 0.751
Ga4 0.751 0.249 0.500
Fe1 0.000 0.000 0.000
Fe2 0.000 0.000 0.500
Fe3 0.125 0.376 0.125
Fe4 0.125 0.376 0.875
Fe5 0.126 0.375 0.375
Fe6 0.126 0.375 0.625
Fe7 0.249 0.751 0.250
Fe8 0.249 0.751 0.750
Fe9 0.375 0.126 0.375
Fe10 0.375 0.126 0.625
Fe11 0.376 0.125 0.125
Fe12 0.376 0.125 0.875
Fe13 0.500 0.500 0.000
Fe14 0.500 0.500 0.500
Fe15 0.624 0.875 0.125
Fe16 0.624 0.875 0.875
Fe17 0.625 0.874 0.375
Fe18 0.625 0.874 0.625
Fe19 0.751 0.249 0.250
Fe20 0.751 0.249 0.750
Fe21 0.874 0.625 0.375
Fe22 0.874 0.625 0.625
Fe23 0.875 0.624 0.125
Fe24 0.875 0.624 0.875

Values from the calculation:
D(E_F): 5.93 states/eV/f.u.
DFT formation energy: -0.047 eV per atom

# NbPbSe2

Crystalline NbPbSe2 at its relaxed geometry (PBE, Alexandria).

Lattice parameters (Å, degrees): 3.857 3.857 26.666 90.00 90.00 120.00
Element x y z (fractional)
Nb1 0.000 0.000 0.000
Nb2 0.333 0.667 0.667
Nb3 0.667 0.333 0.333
Pb1 0.000 0.000 0.500
Pb2 0.333 0.667 0.167
Pb3 0.667 0.333 0.833
Se1 0.000 0.000 0.092
Se2 0.000 0.000 0.908
Se3 0.333 0.667 0.575
Se4 0.333 0.667 0.758
Se5 0.667 0.333 0.242
Se6 0.667 0.333 0.425

Values from the calculation:
electronic total energy: -4.92 eV/atom
D(E_F): 2.33 states/eV/f.u.

# AcAg

Crystalline AcAg at its relaxed geometry (PBE, Alexandria).

Lattice parameters (Å, degrees): 4.293 5.028 6.303 90.00 109.44 90.00
Element x y z (fractional)
Ac1 0.141 0.250 0.284
Ac2 0.859 0.750 0.716
Ag1 0.428 0.250 0.853
Ag2 0.572 0.750 0.147

Values from the calculation:
D(E_F): 1.78 states/eV/f.u.
DFT formation energy: -0.269 eV per atom

# NbZn2HAu

Crystalline NbZn2HAu at its relaxed geometry (PBE, Alexandria).

Lattice parameters (Å, degrees): 5.090 5.090 3.341 90.00 90.00 90.00
Element x y z (fractional)
Nb1 0.000 0.000 0.000
Zn1 0.000 0.500 0.000
Zn2 0.500 0.000 0.000
H1 0.000 0.000 0.500
Au1 0.500 0.500 0.500

Values from the calculation:
electronic total energy: -3.19 eV/atom
D(E_F): 1.47 states/eV/f.u.

# LaTa2Br

Crystalline LaTa2Br at its relaxed geometry (PBE, Alexandria).

Lattice parameters (Å, degrees): 4.028 4.028 11.722 90.00 90.00 90.00
Element x y z (fractional)
La1 0.000 0.000 0.000
La2 0.500 0.500 0.500
Ta1 0.000 0.500 0.250
Ta2 0.000 0.500 0.750
Ta3 0.500 0.000 0.250
Ta4 0.500 0.000 0.750
Br1 0.000 0.000 0.500
Br2 0.500 0.500 0.000

Values from the calculation:
electronic total energy: -7.12 eV/atom
D(E_F): 4.48 states/eV/f.u.

# U2PaGe

Crystalline U2PaGe at its relaxed geometry (PBE, Alexandria).

Lattice parameters (Å, degrees): 6.893 6.893 6.893 90.00 90.00 90.00
Element x y z (fractional)
U1 0.250 0.250 0.250
U2 0.250 0.250 0.750
U3 0.250 0.750 0.250
U4 0.250 0.750 0.750
U5 0.750 0.250 0.250
U6 0.750 0.250 0.750
U7 0.750 0.750 0.250
U8 0.750 0.750 0.750
Pa1 0.000 0.000 0.000
Pa2 0.000 0.500 0.500
Pa3 0.500 0.000 0.500
Pa4 0.500 0.500 0.000
Ge1 0.000 0.000 0.500
Ge2 0.000 0.500 0.000
Ge3 0.500 0.000 0.000
Ge4 0.500 0.500 0.500

Values from the calculation:
D(E_F): 11.88 states/eV/f.u.
DFT formation energy: 0.102 eV per atom

# Tl2BiBr

Crystalline Tl2BiBr at its relaxed geometry (PBE, Alexandria).

Lattice parameters (Å, degrees): 5.862 5.862 3.675 90.00 90.00 90.00
Element x y z (fractional)
Tl1 0.000 0.500 0.000
Tl2 0.500 0.000 0.000
Bi1 0.000 0.000 0.500
Br1 0.500 0.500 0.500

Values from the calculation:
electronic total energy: -2.85 eV/atom
D(E_F): 2.55 states/eV/f.u.

# PmThNiPd

Crystalline PmThNiPd at its relaxed geometry (PBE, Alexandria).

Lattice parameters (Å, degrees): 4.323 3.800 11.292 90.00 90.00 90.00
Element x y z (fractional)
Pm1 0.000 0.000 0.000
Pm2 0.000 0.500 0.500
Th1 0.500 0.000 0.273
Th2 0.500 0.500 0.773
Ni1 0.000 0.000 0.738
Ni2 0.000 0.500 0.238
Pd1 0.500 0.000 0.563
Pd2 0.500 0.500 0.063

Values from the calculation:
D(E_F): 3.29 states/eV/f.u.
DFT formation energy: -0.589 eV per atom

Which formula does entry 2 have?
NbPbSe2